# TbEr4Co

A geometry-optimized TbEr4Co structure (PBE, the Alexandria database).

Geometry as POSCAR:
```
TbEr4Co
1.0
5.904 -1.763 0.000
5.904 1.763 0.000
-2.933 0.000 7.710
Tb Er Co
1 4 1
Direct
0.000 0.000 0.000
0.330 0.330 0.208
0.373 0.373 0.622
0.627 0.627 0.378
0.670 0.670 0.792
0.000 0.000 0.500
```

Results
Space-group type: C2/m
VASP energy (eV per atom): -5.048
Polymorph energy (0 for the lowest one) (meV per atom): 0.0
E_form (eV/atom): -0.050